[1]
BaAgO2F | the Alexandria database | PBE | optimized geometry; space group = P4/mmm; density of states at the Fermi level = 0.1321 states/eV per atom
1.0
4.5434 0.0000 0.0000
0.0000 4.5434 0.0000
0.0000 0.0000 5.0476
Ba Ag O F
1 1 2 1
Cartesian
0.0000 0.0000 0.0000
2.2717 2.2717 2.5238
0.0000 2.2717 0.0000
2.2717 0.0000 0.0000
0.0000 0.0000 2.5238

[2]
BaAgO2F | the Alexandria database | PBE | optimized geometry; space group = P4/mmm; density of states at the Fermi level = 0.8387 states/eV per atom
1.0
4.1601 0.0000 0.0000
0.0000 4.1601 0.0000
0.0000 0.0000 4.5580
Ba Ag O F
1 1 2 1
Cartesian
0.0000 0.0000 0.0000
2.0800 2.0800 2.2790
0.0000 2.0800 2.2790
2.0800 0.0000 2.2790
2.0800 2.0800 0.0000

[3]
BaAg2PdF6 | the Alexandria database | PBE | optimized geometry; space group = P2_1/c
1.0
6.6792 0.0000 0.0000
0.0000 5.8884 0.0000
-3.8192 0.0000 8.7193
Ba Ag Pd F
2 4 2 12
Cartesian
0.0000 0.0000 0.0000
-1.9096 2.9442 4.3597
-1.0022 0.0107 6.8131
0.9074 2.9335 2.4534
1.9527 2.9549 6.2659
3.8622 5.8777 1.9062
1.4300 0.0000 4.3597
3.3396 2.9442 0.0000
-0.9519 1.4654 2.1831
-2.8615 1.4788 6.5428
2.1220 4.3686 0.7276
0.2124 4.4640 5.0872
0.2339 1.4449 5.0843
2.1435 1.4993 0.7246
0.7165 4.3891 7.9947
2.6261 4.4435 3.6350
2.6476 1.4244 3.6321
0.7380 1.5198 7.9917
5.7215 4.4096 2.1765
3.8119 4.4230 6.5362

[4]
BaAg2PdF8 | the Alexandria database | PBE | optimized geometry; space group = P-3m1
1.0
6.3930 0.0000 0.0000
-3.1965 5.5365 0.0000
0.0000 0.0000 7.2019
Ba Ag Pd F
1 2 1 8
Cartesian
0.0000 0.0000 0.0000
0.0000 3.6910 1.6818
3.1965 1.8455 5.5202
0.0000 0.0000 3.6010
0.0000 1.5386 2.3028
-1.8640 4.7672 2.3028
1.3324 0.7693 4.8991
0.0000 3.6910 6.7678
3.1965 1.8455 0.4341
1.8640 4.7672 2.3028
5.0605 0.7693 4.8991
3.1965 3.9979 4.8991

In order of appearance, formation energy from raw total energies = -721; -1507; -1860; -1736 meV per atom.
In order of appearance, spin magnetization = 0.000; 0.213; 0.000; 0.000 μB per cell.